#A
Computed, not measured: a relaxed structure of PuMgTc at the PBE level of DFT.

abc: 4.560 4.560 7.254
angles: 106.38 106.38 61.59
Fractional coordinates of all 6 atoms:
Pu: 0.124 0.124 0.367
Pu: 0.876 0.876 0.633
Mg: 0.297 0.297 0.896
Mg: 0.703 0.703 0.104
Tc: 0.425 0.425 0.312
Tc: 0.575 0.575 0.688

As for the space group: No. 12.

#B
Computed, not measured: a relaxed structure of PuMgTc at the PBE level of DFT.

abc: 6.292 6.292 6.292
angles: 149.97 149.97 42.98
Fractional coordinates of all 3 atoms:
Pu: 0.000 0.000 0.000
Mg: 0.722 0.722 0.000
Tc: 0.366 0.366 0.000

As for the space group: No. 107.

List of relative energies, unit meV per atom: #A 0; #B 14

#A
Computed, not measured: a relaxed structure of BBr at the PBE level of DFT.

abc: 7.427 5.434 7.689
angles: 90.00 113.31 90.00
Fractional coordinates of all 8 atoms:
B: 0.036 0.000 0.432
B: 0.087 0.242 0.576
B: 0.913 0.742 0.424
B: 0.964 0.500 0.568
Br: 0.150 0.030 0.246
Br: 0.341 0.214 0.786
Br: 0.659 0.714 0.214
Br: 0.850 0.530 0.754

As for the space group: No. 4.

#B
Computed, not measured: a relaxed structure of BBr at the PBE level of DFT.

abc: 9.426 4.646 12.517
angles: 90.00 90.00 90.00
Fractional coordinates of all 12 atoms:
B: 0.000 0.247 0.000
B: 0.106 0.155 0.913
B: 0.394 0.845 0.413
B: 0.500 0.753 0.500
B: 0.606 0.845 0.413
B: 0.894 0.155 0.913
Br: 0.000 0.389 0.145
Br: 0.217 0.037 0.800
Br: 0.283 0.963 0.300
Br: 0.500 0.611 0.645
Br: 0.717 0.963 0.300
Br: 0.783 0.037 0.800

As for the space group: No. 31.

List of relative energies, unit meV per atom: #A 0; #B 322

#A
Computed, not measured: a relaxed structure of Te2AsPb at the PBE level of DFT.

abc: 8.408 8.408 8.408
angles: 28.61 28.61 28.61
Fractional coordinates of all 4 atoms:
Te: 0.238 0.238 0.238
Te: 0.762 0.762 0.762
As: 0.500 0.500 0.500
Pb: 0.000 0.000 0.000

As for the space group: No. 166.

#B
Computed, not measured: a relaxed structure of Te2AsPb at the PBE level of DFT.

abc: 7.880 7.880 7.880
angles: 33.17 33.17 33.17
Fractional coordinates of all 4 atoms:
Te: 0.000 0.000 0.000
Te: 0.218 0.218 0.218
As: 0.714 0.714 0.714
Pb: 0.478 0.478 0.478

As for the space group: No. 160.

List of relative energies, unit meV per atom: #A 0; #B 28

#A
Computed, not measured: a relaxed structure of LaY2Ru at the PBE level of DFT.

abc: 3.638 4.644 6.550
angles: 90.00 106.00 90.00
Fractional coordinates of all 4 atoms:
La: 0.000 0.000 0.000
Y: 0.333 0.500 0.713
Y: 0.667 0.500 0.287
Ru: 0.500 0.000 0.500

As for the space group: No. 10.

#B
Computed, not measured: a relaxed structure of LaY2Ru at the PBE level of DFT.

abc: 3.904 9.472 6.462
angles: 90.00 107.55 90.00
Fractional coordinates of all 8 atoms:
La: 0.079 0.250 0.160
La: 0.921 0.750 0.840
Y: 0.354 0.072 0.707
Y: 0.354 0.428 0.707
Y: 0.646 0.572 0.293
Y: 0.646 0.928 0.293
Ru: 0.261 0.750 0.521
Ru: 0.739 0.250 0.479

As for the space group: No. 11.

List of relative energies, unit meV per atom: #A 303; #B 0